No. 1
Material: V2IrRu
Method: DFT, SCAN
State: single point on PBEsol structure

## Properties
formation energy	-554	meV per atom
total energy	-35.78	eV per atom

Lattice parameters (Å, degrees): 4.0418 5.1632 5.1632 98.62 90.00 90.00
Element x y z (fractional)
Ru 0.0000 0.8699 0.5752
Ru 0.0000 0.4248 0.1301
V 0.5000 0.6127 0.3873
V 0.5000 0.1760 0.8240
V 0.0000 0.9327 0.0673
V 0.0000 0.3701 0.6299
Ir 0.5000 0.1153 0.3257
Ir 0.5000 0.6743 0.8847

=====

No. 2
Material: IrRuW2
Method: DFT, SCAN
State: single point on PBEsol structure

## Properties
formation energy	-135	meV per atom
total energy	-61.46	eV per atom
E above lowest polymorph	37.1	meV per atom

Lattice parameters (Å, degrees): 2.7703 4.4363 4.7630 90.00 90.00 90.00
Element x y z (fractional)
Ru 0.5000 0.5000 0.1926
W 0.0000 0.0000 0.0539
W 0.0000 0.5000 0.7002
Ir 0.5000 0.0000 0.5533

=====

No. 3
Material: IrRuW2
Method: DFT, SCAN
State: single point on PBEsol structure

## Properties
formation energy	-172	meV per atom
total energy	-61.50	eV per atom
E above lowest polymorph	0.0	meV per atom

Lattice parameters (Å, degrees): 3.8911 3.8911 4.7425 114.22 114.22 90.00
Element x y z (fractional)
Ir 0.5000 0.5000 0.0000
Ru 0.0000 0.0000 0.0000
W 0.7500 0.2500 0.5000
W 0.2500 0.7500 0.5000

=====

No. 4
Material: IrRuW2
Method: DFT, SCAN
State: single point on PBEsol structure

## Properties
formation energy	-157	meV per atom
total energy	-61.48	eV per atom
E above lowest polymorph	15.0	meV per atom

Lattice parameters (Å, degrees): 2.7490 3.8655 5.5035 90.00 90.00 90.00
Element x y z (fractional)
Ir 0.5000 0.5000 0.0000
Ru 0.5000 0.5000 0.5000
W 0.0000 0.0000 0.7470
W 0.0000 0.0000 0.2530

=====

No. 5
Material: IrRuW2
Method: DFT, SCAN
State: single point on PBEsol structure

## Properties
formation energy	234	meV per atom
total energy	-61.09	eV per atom
E above lowest polymorph	406.0	meV per atom

Lattice parameters (Å, degrees): 4.3801 4.3801 4.3801 60.00 60.00 60.00
Site moments in Bohr magnetons follow the coordinates.
Element x y z (fractional)
Ir 0.5000 0.5000 0.5000  0.33
W 0.7500 0.7500 0.7500  0.02
W 0.0000 0.0000 0.0000  -0.01
Ru 0.2500 0.2500 0.2500  0.58

=====

No. 6
Material: IrRuW2
Method: DFT, SCAN
State: single point on PBEsol structure

## Properties
formation energy	-145	meV per atom
total energy	-61.47	eV per atom
E above lowest polymorph	27.0	meV per atom

Lattice parameters (Å, degrees): 2.7532 2.7532 7.7203 90.00 90.00 90.00
Element x y z (fractional)
W 0.0000 0.0000 0.7470
W 0.0000 0.0000 0.2530
Ir 0.5000 0.5000 0.0000
Ru 0.5000 0.5000 0.5000

=====

No. 7
Material: IrRuW2
Method: DFT, SCAN
State: single point on PBEsol structure

## Properties
formation energy	-160	meV per atom
total energy	-61.48	eV per atom
E above lowest polymorph	12.7	meV per atom

Lattice parameters (Å, degrees): 2.7501 4.7411 4.7411 108.86 90.00 90.00
Element x y z (fractional)
W 0.0000 0.5000 0.0000
W 0.0000 0.0000 0.5000
Ru 0.5000 0.5000 0.5000
Ir 0.5000 0.0000 0.0000

=====

No. 8
Material: Y4IrRu
Method: DFT, SCAN
State: single point on PBEsol structure

## Properties
formation energy	846	meV per atom
total energy	-35.37	eV per atom

Lattice parameters (Å, degrees): 5.6977 5.6977 5.6977 60.00 60.00 60.00
Element x y z (fractional)
Y 0.8741 0.3753 0.3753
Y 0.3753 0.3753 0.3753
Y 0.3753 0.3753 0.8741
Y 0.3753 0.8741 0.3753
Ru 0.0000 0.0000 0.0000
Ir 0.7500 0.7500 0.7500

=====

No. 9
Material: Y2IrRu
Method: DFT, SCAN
State: single point on PBEsol structure

## Properties
formation energy	-687	meV per atom
total energy	-41.09	eV per atom

Lattice parameters (Å, degrees): 3.3688 3.3688 6.7249 90.00 90.00 90.00
Element x y z (fractional)
Ru 0.5000 0.5000 0.0000
Y 0.0000 0.0000 0.7527
Y 0.0000 0.0000 0.2473
Ir 0.5000 0.5000 0.5000

=====

No. 10
Material: Y2IrRu
Method: DFT, SCAN
State: single point on PBEsol structure

## Properties
formation energy	-713	meV per atom
total energy	-41.12	eV per atom

Lattice parameters (Å, degrees): 4.7541 4.7541 4.7541 60.00 60.00 60.00
Element x y z (fractional)
Ru 0.0000 0.0000 0.0000
Ir 0.5000 0.5000 0.5000
Y 0.7500 0.7500 0.7500
Y 0.2500 0.2500 0.2500

=====

No. 11
Material: YIr2Ru
Method: DFT, SCAN
State: single point on PBEsol structure

## Properties
formation energy	-212	meV per atom
total energy	-51.43	eV per atom
E above lowest polymorph	0.0	meV per atom

Lattice parameters (Å, degrees): 2.8348 3.8472 5.9559 90.00 90.00 90.00
Element x y z (fractional)
Ru 0.5000 0.5000 0.0000
Ir 0.0000 0.0000 0.2158
Ir 0.0000 0.0000 0.7842
Y 0.5000 0.5000 0.5000

=====

No. 12
Material: Y2IrRu
Method: DFT, SCAN
State: single point on PBEsol structure

## Properties
formation energy	-62	meV per atom
total energy	-40.46	eV per atom

Lattice parameters (Å, degrees): 3.2006 3.2006 8.3612 90.00 90.00 92.25
Site moments in Bohr magnetons follow the coordinates.
Element x y z (fractional)
Y 0.5000 0.5000 0.6844  0.04
Y 0.0000 0.0000 0.0649  0.07
Ir 0.0000 0.0000 0.4524  -0.53
Ru 0.5000 0.5000 0.2983  -0.59

=====

No. 13
Material: YIr2Ru
Method: DFT, SCAN
State: single point on PBEsol structure

## Properties
formation energy	-164	meV per atom
total energy	-51.38	eV per atom
E above lowest polymorph	48.3	meV per atom

Lattice parameters (Å, degrees): 2.8528 4.7640 4.8621 107.70 90.00 90.00
Element x y z (fractional)
Ir 0.0000 0.0000 0.0000
Ir 0.5000 0.5000 0.0000
Ru 0.5000 0.0000 0.5000
Y 0.0000 0.5000 0.5000

=====

No. 14
Material: YIr3Ru
Method: DFT, SCAN
State: single point on PBEsol structure

## Properties
formation energy	828	meV per atom
total energy	-54.36	eV per atom

Lattice parameters (Å, degrees): 4.6622 4.6622 4.6622 90.00 90.00 90.00
Element x y z (fractional)
Ru 0.0000 0.0000 0.0000
Ir 0.0000 0.0000 0.5000
Ir 0.0000 0.5000 0.0000
Ir 0.5000 0.0000 0.0000
Y 0.5000 0.5000 0.5000

=====

No. 15
Material: ZnIr2Ru
Method: DFT, SCAN
State: single point on PBEsol structure

## Properties
formation energy	-93	meV per atom
total energy	-47.73	eV per atom

Lattice parameters (Å, degrees): 2.7075 2.7075 8.7858 81.14 81.14 60.00
Element x y z (fractional)
Zn 0.0000 0.0000 0.0000
Ir 0.2496 0.2496 0.2512
Ir 0.7504 0.7504 0.7488
Ru 0.5000 0.5000 0.5000